PBE TePtW3, relaxed; VASP energy = -6.997 eV per atom; energy relative to the elements, uncorrected = 2.611 eV/atom; ΔE to the lowest computed polymorph = 573 meV/atom; mass density = 13.00 g/cm³; SG = Pm-3m (221)
1.0
4.815 0.000 0.000
0.000 4.815 0.000
0.000 0.000 4.815
Te Pt W
1 1 3
direct
0.000 0.000 0.000
0.500 0.500 0.500
0.000 0.000 0.500
0.000 0.500 0.000
0.500 0.000 0.000